[1]
First-principles (GGA-PBEsol) data for a relaxed ErSnRu2 crystal, as listed in Alexandria.

Calculated formation energy, eV/atom: -0.3758
Total magnetization, μB per cell: 0.0
Space-group type: Fm-3m
Mass density, g/cm3: 11.94
DOS(E_F), states/eV/f.u.: 5.1

Structure (POSCAR):
```
ErSnRu2
1.0
-1.215 4.313 0.944
-4.299 0.943 1.265
-0.898 1.233 4.318
Er Sn Ru
1 1 2
direct
0.500 0.500 0.500
0.000 0.000 0.000
0.250 0.250 0.250
0.750 0.750 0.750
```


[2]
First-principles (GGA-PBEsol) data for a relaxed Er5S7 crystal, as listed in Alexandria.

Energy relative to the elements, uncorrected, kJ/mol of atoms: -205.1
Total magnetization, μB per cell: 0.0
Space-group type: C2/m
Mass density, g/cm3: 6.88
DOS(E_F), states/eV/f.u.: 1.4

Structure (POSCAR):
```
Er5S7
1.0
3.721 0.000 0.000
-1.860 6.267 -0.004
0.000 -2.857 10.986
S Er
7 5
direct
0.500 0.000 0.500
0.959 0.919 0.215
0.340 0.681 0.949
0.741 0.482 0.352
0.041 0.081 0.785
0.259 0.518 0.648
0.660 0.319 0.051
0.887 0.775 0.578
0.113 0.225 0.422
0.000 0.000 0.000
0.700 0.400 0.812
0.300 0.600 0.188
```


[3]
First-principles (GGA-PBEsol) data for a relaxed Er2S3 crystal, as listed in Alexandria.

Energy relative to the elements, uncorrected, kJ/mol of atoms: -206.2
Total magnetization, μB per cell: 0.0
Space-group type: Pnma
Mass density, g/cm3: 7.12

Structure (POSCAR):
```
Er2S3
1.0
-3.574 1.100 0.549
-2.683 -4.297 -8.845
-1.996 -8.957 4.957
S Er
12 8
direct
0.750 0.698 0.272
0.750 0.802 0.772
0.250 0.302 0.728
0.250 0.944 0.380
0.750 0.444 0.120
0.250 0.874 0.045
0.250 0.198 0.228
0.750 0.056 0.620
0.250 0.626 0.545
0.250 0.556 0.880
0.750 0.374 0.455
0.750 0.126 0.955
0.750 0.813 0.511
0.750 0.687 0.011
0.250 0.998 0.807
0.750 0.498 0.693
0.250 0.313 0.989
0.250 0.502 0.307
0.250 0.187 0.489
0.750 0.002 0.193
```


[4]
First-principles (GGA-PBEsol) data for a relaxed Er2S3 crystal, as listed in Alexandria.

Energy relative to the elements, uncorrected, kJ/mol of atoms: -204.0
Total magnetization, μB per cell: 0.0
Space-group type: I-42d
Mass density, g/cm3: 7.16
DOS(E_F), states/eV/f.u.: 0.0

Structure (POSCAR):
```
Er2S3
1.0
-4.234 6.084 -3.290
-6.471 -4.847 -0.635
1.694 2.817 13.027
S Er
24 16
direct
0.615 0.361 0.367
0.427 0.673 0.710
0.823 0.713 0.790
0.941 0.687 0.533
0.327 0.717 0.290
0.937 0.691 0.033
0.256 0.503 0.867
0.287 0.033 0.210
0.967 0.077 0.790
0.313 0.408 0.467
0.154 0.059 0.467
0.923 0.177 0.210
0.639 0.247 0.633
0.658 0.063 0.967
0.283 0.037 0.710
0.963 0.573 0.290
0.753 0.006 0.367
0.635 0.744 0.133
0.994 0.385 0.633
0.309 0.904 0.967
0.611 0.365 0.867
0.497 0.389 0.133
0.592 0.846 0.533
0.096 0.342 0.033
0.584 0.084 0.168
0.625 0.993 0.750
0.324 0.202 0.922
0.916 0.416 0.832
0.653 0.548 0.578
0.926 0.031 0.578
0.666 0.666 0.332
0.125 0.757 0.750
0.334 0.334 0.668
0.452 0.074 0.422
0.243 0.375 0.250
0.798 0.403 0.078
0.597 0.719 0.922
0.281 0.676 0.078
0.007 0.875 0.250
0.969 0.347 0.422
```


[5]
First-principles (GGA-PBEsol) data for a relaxed Er2S3 crystal, as listed in Alexandria.

Energy relative to the elements, uncorrected, kJ/mol of atoms: -203.8
Total magnetization, μB per cell: 0.0
Space-group type: P2_1/m
Mass density, g/cm3: 6.61

Structure (POSCAR):
```
Er2S3
1.0
-3.565 1.108 -0.903
0.074 -6.660 -8.465
-3.919 -5.441 8.794
S Er
12 8
direct
0.750 0.102 0.937
0.250 0.247 0.278
0.750 0.389 0.536
0.250 0.417 0.100
0.750 0.691 0.249
0.250 0.611 0.464
0.750 0.020 0.385
0.250 0.898 0.063
0.750 0.753 0.722
0.750 0.583 0.900
0.250 0.309 0.751
0.250 0.980 0.615
0.250 0.544 0.691
0.750 0.456 0.309
0.250 0.932 0.831
0.250 0.660 0.083
0.250 0.182 0.503
0.750 0.818 0.497
0.750 0.340 0.917
0.750 0.068 0.169
```


[6]
First-principles (GGA-PBEsol) data for a relaxed ErS crystal, as listed in Alexandria.

Energy relative to the elements, uncorrected, kJ/mol of atoms: -200.6
Total magnetization, μB per cell: 0.0
Space-group type: Fm-3m
Mass density, g/cm3: 8.48
DOS(E_F), states/eV/f.u.: 0.8

Structure (POSCAR):
```
ErS
1.0
3.808 0.000 0.000
1.904 3.298 0.000
1.904 1.099 3.109
S Er
1 1
direct
0.500 0.500 0.500
0.000 0.000 0.000
```


[7]
First-principles (GGA-PBEsol) data for a relaxed Er3ScS6 crystal, as listed in Alexandria.

Energy relative to the elements, uncorrected, kJ/mol of atoms: -194.6
Total magnetization, μB per cell: 0.0
Space-group type: P2_1/m
Mass density, g/cm3: 5.82

Structure (POSCAR):
```
Er3ScS6
1.0
3.797 0.000 0.000
0.000 10.675 0.020
0.000 -3.548 10.395
Er S Sc
6 12 2
direct
0.750 0.160 0.080
0.250 0.317 0.496
0.750 0.423 0.831
0.250 0.840 0.920
0.250 0.577 0.169
0.750 0.683 0.504
0.750 0.917 0.102
0.250 0.895 0.537
0.750 0.481 0.617
0.250 0.184 0.251
0.750 0.401 0.068
0.250 0.599 0.932
0.250 0.243 0.717
0.250 0.519 0.383
0.750 0.105 0.463
0.250 0.083 0.898
0.750 0.757 0.283
0.750 0.816 0.749
0.750 0.039 0.686
0.250 0.961 0.314
```


[8]
First-principles (GGA-PBEsol) data for a relaxed ErScS3 crystal, as listed in Alexandria.

Energy relative to the elements, uncorrected, kJ/mol of atoms: -196.2
Total magnetization, μB per cell: 0.0
Space-group type: Pnma
Mass density, g/cm3: 5.08
DOS(E_F), states/eV/f.u.: 0.0

Structure (POSCAR):
```
ErScS3
1.0
6.234 0.000 0.000
0.000 6.922 0.000
0.000 0.000 9.350
S Sc Er
12 4 4
direct
0.330 0.318 0.072
0.150 0.549 0.750
0.830 0.182 0.928
0.830 0.182 0.572
0.350 0.049 0.750
0.850 0.451 0.250
0.170 0.818 0.428
0.670 0.682 0.572
0.170 0.818 0.072
0.670 0.682 0.928
0.650 0.951 0.250
0.330 0.318 0.428
0.000 0.500 0.000
0.500 0.000 0.000
0.000 0.500 0.500
0.500 0.000 0.500
0.044 0.107 0.250
0.456 0.607 0.250
0.956 0.893 0.750
0.544 0.393 0.750
```


| no. | energy (eV per atom) |
| --- | --- |
| 1 | -7.76 |
| 2 | -6.74 |
| 3 | -6.74 |
| 4 | -6.72 |
| 5 | -6.71 |
| 6 | -6.74 |
| 7 | -6.79 |
| 8 | -6.97 |